No. 1
Here is crystalline Dy3Ho7Th2 at its relaxed geometry from the Alexandria database. Energies are from PBE.

Properties
The magnetic moment is 0.0 μB/cell. The formation energy comes out at 0.295 eV/atom. For the electronic total energy, the calculation gives -4.76 eV/atom.

Cell lengths 16.3533, 16.3533, 4.5922 Å; angles 90.00, 90.00, 161.06 degrees
Closest atoms and distances in Å follow each position.
Fractional coordinates of all 12 atoms:
Dy 0.0000 0.0000 0.0000  12 Ho 3.45-3.71
Dy 0.1527 0.8473 0.0000  6 Ho 3.29-3.58, 4 Th 3.54
Dy 0.8473 0.1527 0.0000  6 Ho 3.29-3.58, 4 Th 3.54
Ho 0.0797 0.9203 0.5000  4 Dy 3.29-3.45, 4 Ho 3.54
Ho 0.2293 0.7707 0.5000  2 Ho 3.01
Ho 0.4206 0.5794 0.0000  6 Ho 3.44-3.54, 2 Th 3.45, 4 Dy 3.58-3.71
Ho 0.5000 0.5000 0.5000  8 Ho 3.44-3.72, 4 Dy 3.54
Ho 0.5794 0.4206 0.0000  6 Ho 3.44-3.54, 2 Th 3.45, 4 Dy 3.58-3.71
Ho 0.7707 0.2293 0.5000  2 Ho 3.01
Ho 0.9203 0.0797 0.5000  4 Dy 3.29-3.45, 4 Ho 3.54
Th 0.3409 0.6591 0.5000  7 Ho 3.45-3.71, 4 Dy 3.54
Th 0.6591 0.3409 0.5000  7 Ho 3.45-3.71, 4 Dy 3.54

***

No. 2
Here is crystalline CoPb2Cl at its relaxed geometry from the Alexandria database. Energies are from PBE.

Properties
The magnetic moment is 1.4 μB/cell. The raw formation energy comes out at 0.135 eV per atom. For the electronic total energy, the calculation gives -3.96 eV/atom.

Cell lengths 5.5634, 5.5634, 3.2573 Å; angles 104.31, 104.31, 87.99 degrees
Closest atoms and distances in Å follow each position.
Fractional coordinates of all 4 atoms:
Co 0.0000 0.0000 0.0000  4 Pb 2.85
Pb 0.0000 0.5000 0.5000  2 Cl 2.85, 2 Co 2.85
Pb 0.5000 0.0000 0.5000  2 Cl 2.85, 2 Co 2.85
Cl 0.5000 0.5000 0.0000  4 Pb 2.85

***

No. 3
Here is crystalline LiFe2Pb at its relaxed geometry from the Alexandria database. Energies are from PBE.

Properties
The magnetic moment is 5.2 μB/cell. The formation energy comes out at 0.435 eV/atom. For the electronic total energy, the calculation gives -5.20 eV/atom.

Cell lengths 5.4578, 5.4578, 3.0048 Å; angles 105.18, 105.18, 121.66 degrees
Closest atoms and distances in Å follow each position.
Fractional coordinates of all 4 atoms:
Li 0.0000 0.0000 0.0000  4 Pb 2.66-2.74, 4 Fe 2.75
Fe 0.0000 0.5000 0.5000  4 Fe 2.66-2.74, 2 Li 2.75, 2 Pb 2.75
Fe 0.5000 0.0000 0.5000  4 Fe 2.66-2.74, 2 Li 2.75, 2 Pb 2.75
Pb 0.5000 0.5000 0.0000  4 Li 2.66-2.74, 4 Fe 2.75

***

V, respectively: 399, 95, 64 Å³ per cell.